{"formula": "MgScZn", "functional": "GGA-PBEsol", "state": "relaxed", "lattice": [[-1.553, 1.553, 6.004], [1.553, -1.553, 6.004], [1.553, 1.553, -6.004]], "species": ["Mg", "Sc", "Zn"], "frac_coords": [[0.000, 0.000, 0.000], [0.699, 0.699, 0.000], [0.348, 0.348, 0.000]], "dft_energy_ev_per_cell": -10.4, "crystal_system": "tetragonal", "magmom_total_mub_per_fu": 0.18, "ef_ev_per_atom": -0.175, "n_ef_per_ev_fu": 2.4, "sg": "No. 107"}

{"formula": "MgScZn2", "functional": "GGA-PBEsol", "state": "relaxed", "lattice": [[3.055, 0.000, 0.000], [0.000, 3.055, 0.000], [0.000, 0.000, 7.657]], "species": ["Mg", "Sc", "Zn", "Zn"], "frac_coords": [[0.000, 0.000, 0.000], [0.500, 0.500, 0.316], [0.000, 0.000, 0.558], [0.500, 0.500, 0.753]], "dft_energy_ev_per_cell": -12.1, "crystal_system": "tetragonal", "magmom_total_mub_per_fu": 0.29, "ef_ev_per_atom": -0.143, "n_ef_per_ev_fu": 2.6, "sg": "No. 99"}

{"formula": "MgScZn2", "functional": "GGA-PBEsol", "state": "relaxed", "lattice": [[3.153, 0.000, 0.000], [0.000, 3.153, 0.000], [0.000, 0.000, 7.040]], "species": ["Mg", "Sc", "Zn", "Zn"], "frac_coords": [[0.000, 0.000, 0.000], [0.000, 0.000, 0.500], [0.500, 0.500, 0.244], [0.500, 0.500, 0.756]], "dft_energy_ev_per_cell": -12.4, "crystal_system": "tetragonal", "magmom_total_mub_per_fu": 0.20, "ef_ev_per_atom": -0.237, "n_ef_per_ev_fu": 2.3, "sg": "No. 123"}